No. 1
Density functional theory data (PBE-GGA) for crystalline TbTiCoNi at its relaxed geometry.

a = 6.3825 Å, b = 6.3825 Å, c = 6.3825 Å
α = 90.00°, β = 90.00°, γ = 90.00°
Space group F-43m (No. 216)
Inequivalent atoms, fractional coordinates:
Tb 0.0000 0.0000 0.0000 x4
Ti 0.0000 0.0000 0.5000 x4
Co 0.2500 0.2500 0.7500 x4
Ni 0.2500 0.2500 0.2500 x4

Results
DFT formation energy in meV per atom: -154
Calculated volume in Å³ per cell: 260.0
Density of states at the Fermi level in states/eV/cell: 18.5
Calculated density in kg/m³: 8288


No. 2
Density functional theory data (PBE-GGA) for crystalline TbTmCoNi at its relaxed geometry.

a = 6.6748 Å, b = 6.6748 Å, c = 6.6748 Å
α = 90.00°, β = 90.00°, γ = 90.00°
Space group F-43m (No. 216)
Inequivalent atoms, fractional coordinates:
Tb 0.0000 0.0000 0.0000 x4
Tm 0.0000 0.0000 0.5000 x4
Co 0.2500 0.2500 0.7500 x4
Ni 0.2500 0.2500 0.2500 x4

Results
DFT formation energy in meV per atom: -283
Calculated volume in Å³ per cell: 297.4
Density of states at the Fermi level in states/eV/cell: 10.4
Calculated density in kg/m³: 9950


No. 3
Density functional theory data (PBE-GGA) for crystalline TbTmCoNi at its relaxed geometry.

a = 3.9470 Å, b = 3.8174 Å, c = 10.3634 Å
α = 90.00°, β = 90.00°, γ = 90.00°
Space group Amm2 (No. 38)
Inequivalent atoms, fractional coordinates:
Tb 0.0000 0.0000 0.0000 x2
Tm 0.5000 0.0000 0.2845 x2
Co 0.0000 0.0000 0.7152 x2
Ni 0.5000 0.0000 0.5780 x2

Results
DFT formation energy in meV per atom: -330
Calculated volume in Å³ per cell: 156.1
Density of states at the Fermi level in states/eV/cell: 6.0
Calculated density in kg/m³: 9475


No. 4
Density functional theory data (PBE-GGA) for crystalline Tb2ZnCo2Ni5 at its relaxed geometry.

a = 8.7152 Å, b = 8.7152 Å, c = 3.7899 Å
α = 90.00°, β = 90.00°, γ = 90.00°
Space group P4/mbm (No. 127)
Inequivalent atoms, fractional coordinates:
Tb 0.1806 0.3194 0.0000 x4
Zn 0.0000 0.0000 0.0000 x2
Co 0.1154 0.6154 0.0000 x4
Ni 0.0000 0.5000 0.5000 x2
Ni 0.0608 0.7926 0.5000 x8

Results
DFT formation energy in meV per atom: -172
Calculated volume in Å³ per cell: 287.9
Density of states at the Fermi level in states/eV/cell: 22.0
Calculated density in kg/m³: 9167


No. 5
Density functional theory data (PBE-GGA) for crystalline Tb2ZnCo3Ni12 at its relaxed geometry.

a = 8.2791 Å, b = 8.2791 Å, c = 11.9577 Å
α = 90.00°, β = 90.00°, γ = 120.00°
Space group R-3m (No. 166, hexagonal axes)
Inequivalent atoms, fractional coordinates:
Tb 0.0000 0.0000 0.2282 x6
Zn 0.0000 0.0000 0.5000 x3
Co 0.0000 0.5000 0.0000 x9
Ni 0.0158 0.5079 0.2075 x18
Ni 0.0452 0.5226 0.6023 x18

Results
DFT formation energy in meV per atom: 54
Calculated volume in Å³ per cell: 709.8
Density of states at the Fermi level in states/eV/cell: 76.9
Calculated density in kg/m³: 8874


No. 6
Density functional theory data (PBE-GGA) for crystalline TbZrCoNi at its relaxed geometry.

a = 6.5720 Å, b = 6.5720 Å, c = 6.5720 Å
α = 90.00°, β = 90.00°, γ = 90.00°
Space group F-43m (No. 216)
Inequivalent atoms, fractional coordinates:
Tb 0.0000 0.0000 0.0000 x4
Zr 0.0000 0.0000 0.5000 x4
Co 0.2500 0.2500 0.2500 x4
Ni 0.2500 0.2500 0.7500 x4

Results
DFT formation energy in meV per atom: -229
Calculated volume in Å³ per cell: 283.9
Density of states at the Fermi level in states/eV/cell: 14.1
Calculated density in kg/m³: 8606